Record 1
K2BeCu after structural relaxation, computed with PBE.

Cell: 6.172 6.172 4.226 Å, 111.02 111.02 106.22°
Positions (direct):
K1 0.965 0.035 0.000
K2 0.287 0.713 0.500
Be1 0.601 0.399 0.000
Cu1 0.648 0.352 0.500

## Properties
DFT total energy   -2.011 eV per atom
Energy of formation   48 kJ per mole of atoms
Volume   30.98 A^3/atom
Space group   C2 (5)

Record 2
HfZr4Sc7 after structural relaxation, computed with PBE.

Cell: 6.137 8.211 8.902 Å, 76.16 73.86 41.46°
Positions (direct):
Sc1 0.500 0.000 0.000
Sc2 0.845 0.533 0.846
Sc3 0.155 0.467 0.154
Sc4 0.318 0.431 0.507
Sc5 0.720 0.948 0.333
Sc6 0.280 0.052 0.667
Sc7 0.682 0.569 0.493
Zr1 0.508 0.589 0.192
Zr2 0.937 0.907 0.664
Zr3 0.063 0.093 0.336
Zr4 0.492 0.411 0.808
Hf1 0.000 0.000 0.000

## Properties
DFT total energy   -7.316 eV per atom
ΔE to the lowest computed polymorph   0.000 eV per atom
Energy of formation   5 kJ per mole of atoms
Volume   23.74 A^3/atom
Space group   P-1 (2)

Record 3
CuW2Cl8 after structural relaxation, computed with PBE.

Cell: 6.890 8.682 8.682 Å, 43.93 59.37 59.37°
Positions (direct):
Cl1 0.907 0.645 0.645
Cl2 0.519 0.610 0.109
Cl3 0.083 0.852 0.852
Cl4 0.519 0.109 0.610
Cl5 0.093 0.355 0.355
Cl6 0.917 0.148 0.148
Cl7 0.481 0.891 0.390
Cl8 0.481 0.390 0.891
W1 0.492 0.252 0.252
W2 0.508 0.748 0.748
Cu1 0.000 0.000 0.000

## Properties
DFT total energy   -4.677 eV per atom
Volume   27.37 A^3/atom
Space group   C2/m (12)

Record 4
Tb4Dy3Sc after structural relaxation, computed with PBE.

Cell: 8.729 8.729 8.903 Å, 119.35 119.35 90.00°
Positions (direct):
Tb1 0.313 0.512 0.325
Tb2 0.512 0.012 0.325
Tb3 0.988 0.187 0.675
Tb4 0.687 0.488 0.675
Tb5 0.012 0.813 0.325
Tb6 0.813 0.313 0.325
Tb7 0.488 0.988 0.675
Tb8 0.187 0.687 0.675
Sc1 0.000 0.000 0.000
Sc2 0.500 0.500 0.000
Dy1 0.750 0.750 0.500
Dy2 0.648 0.852 0.000
Dy3 0.352 0.148 0.000
Dy4 0.250 0.250 0.500
Dy5 0.852 0.352 0.000
Dy6 0.148 0.648 0.000

## Properties
DFT total energy   -4.740 eV per atom
ΔE to the lowest computed polymorph   0.073 eV per atom
Energy of formation   9 kJ per mole of atoms
Volume   30.55 A^3/atom
Space group   I4/mcm (140)

Record 5
Sm2Sc6In after structural relaxation, computed with PBE.

Cell: 3.293 9.630 9.059 Å, 122.11 100.45 90.00°
Positions (direct):
Sc1 0.178 0.016 0.357
Sc2 0.178 0.341 0.357
Sc3 0.822 0.984 0.643
Sc4 0.500 0.283 0.000
Sc5 0.822 0.659 0.643
Sc6 0.500 0.717 0.000
Sm1 0.852 0.353 0.705
Sm2 0.148 0.647 0.295
In1 0.000 0.000 0.000

## Properties
DFT total energy   -5.573 eV per atom
Energy of formation   0 kJ per mole of atoms
Volume   26.41 A^3/atom
Space group   Immm (71)

Record 6
BaNa2CoH8 after structural relaxation, computed with PBE.

Cell: 4.906 4.906 6.935 Å, 90.00 90.00 120.00°
Positions (direct):
H1 0.854 0.146 0.868
H2 0.292 0.146 0.868
H3 0.667 0.333 0.459
H4 0.333 0.667 0.541
H5 0.146 0.292 0.132
H6 0.854 0.708 0.868
H7 0.146 0.854 0.132
H8 0.708 0.854 0.132
Na1 0.667 0.333 0.126
Na2 0.333 0.667 0.874
Co1 0.000 0.000 0.000
Ba1 0.000 0.000 0.500

## Properties
DFT total energy   -3.365 eV per atom
Volume   12.04 A^3/atom
Space group   P-3m1 (164)